{
  "formula": "DyErTlC",
  "functional": "GGA-PBE",
  "state": "optimized geometry",
  "rho_g_cm3": 9.97,
  "magnetic_moment_mub_per_fu": 0.1,
  "total_energy_ev_per_cell": -44.576,
  "crystal_system": "trigonal",
  "lattice_angstrom": [[3.597, 0.000, 0.000], [-1.799, 3.115, 0.000], [0.000, 0.000, 16.227]],
  "species": ["Dy", "Dy", "Er", "Er", "Tl", "Tl", "C", "C"],
  "frac_coords": [[0.333, 0.667, 0.417], [0.667, 0.333, 0.583], [0.333, 0.667, 0.082], [0.667, 0.333, 0.918], [0.333, 0.667, 0.751], [0.667, 0.333, 0.249], [0.000, 0.000, 0.000], [0.000, 0.000, 0.500]]
}